Pr6Sm3Sc: optimized geometry, PBE-GGA.

Output
VASP energy: -141.53 eV for the cell shown
M_tot: 0.00 μB per formula unit
Mass density: 6.41 Mg/m³
Formation energy: 0.1988 eV/atom
Offset from the most stable computed form: 0.063 eV per atom

a = 10.0419 Å, b = 10.0419 Å, c = 11.9439 Å
α = 90.00°, β = 90.00°, γ = 120.00°
Space group R3 (No. 146, hexagonal axes)
Symmetry-distinct sites (fractional):
Pr (0.9995, 0.3382, 0.0000) (multiplicity 9)
Pr (0.0002, 0.6616, 0.1677) (multiplicity 9)
Sm (0.0000, 0.0000, 0.0847) (multiplicity 3)
Sm (0.0000, 0.0000, 0.3392) (multiplicity 3)
Sm (0.0000, 0.0000, 0.8299) (multiplicity 3)
Sc (0.0000, 0.0000, 0.5845) (multiplicity 3)